1.
LiPd: relaxed, PBE.

The structure belongs to space group P4_2/mnm (No. 136); the cell edges are 4.8926, 4.8926 and 4.8402 Å and the angles 90.00°, 90.00° and 90.00°. The distinct sites, in fractional coordinates, are Li at (0.1993, 0.1993, 0.0000) and Pd at (0.2004, 0.2004, 0.5000).

For the electronic total energy, the calculation gives -3.66 eV/atom. As for the volume: 14.48 A^3/atom. The density comes out at 6.499 g/cm³. For the formation energy, the calculation gives -10.34 kJ per mole of atoms.

---

2.
Li4Pd3: relaxed, PBE.

The structure belongs to space group C2/m (No. 12); the cell edges are 21.3201, 3.0137 and 3.0133 Å and the angles 90.00°, 97.99° and 90.00°. The distinct sites, in fractional coordinates, are Li at (0.0711, 0.0000, 0.0711), Li at (0.2103, 0.0000, 0.2089), Pd at (0.0000, 0.5000, 0.5000) and Pd at (0.1435, 0.5000, 0.6423).

For the electronic total energy, the calculation gives -3.72 eV/atom. The calculation puts the energy above the most stable polymorph in this dataset at 0.00 eV per formula unit. As for the volume: 13.70 A^3/atom. The density comes out at 6.011 g/cm³. For the formation energy, the calculation gives -38.33 kJ per mole of atoms.

---

- Among the records above, which one has the highest electronic total energy?
  LiPd

---

- Look up the electronic total energy of the second one.
  -3.72 eV/atom

---

- The highest electronic total energy belongs to which entry?
  LiPd